K2Ru2C: relaxed, GGA-PBE.

a = 5.6014 Å, b = 5.6014 Å, c = 5.7419 Å
α = 90.00°, β = 90.00°, γ = 90.00°
Last column: nearest neighbours and their distance in Å.
Positions (direct):
1 K 0.1810 0.3190 0.0000  5 K 2.87-2.91, 2 Ru 3.11
2 K 0.3190 0.8190 0.0000  5 K 2.87-2.91, 2 Ru 3.11
3 K 0.6810 0.1810 0.0000  5 K 2.87-2.91, 2 Ru 3.11
4 K 0.8190 0.6810 0.0000  5 K 2.87-2.91, 2 Ru 3.11
5 Ru 0.1681 0.6681 0.5000  2 C 2.08
6 Ru 0.3319 0.1681 0.5000  2 C 2.08
7 Ru 0.6681 0.8319 0.5000  2 C 2.08
8 Ru 0.8319 0.3319 0.5000  2 C 2.08
9 C 0.0000 0.0000 0.5000  4 Ru 2.08
10 C 0.5000 0.5000 0.5000  4 Ru 2.08

Calculated values
The value obtained for the energy of formation from the pure elements is 0.765 eV/atom. The calculation puts the total magnetic moment at 1.9 μB/cell.